one:
DFT (PBE) results for an optimized crystal structure of Tb3AgPd.

POSCAR file:
```
Tb3AgPd
1.0
5.5313 -0.2497 2.2895
1.8039 5.2348 2.2895
0.0380 0.0258 8.8427
Tb Ag Pd
6 2 2
Direct
0.0322 0.0322 0.7519
0.2894 0.2894 0.3204
0.7106 0.7106 0.6796
0.3123 0.3123 0.8707
0.6877 0.6877 0.1293
0.9678 0.9678 0.2481
0.7098 0.2902 0.5000
0.2902 0.7098 0.5000
0.7145 0.2855 0.0000
0.2855 0.7145 0.0000
```

The density comes out at 8.85 Mg/m³. As for the space group: No. 12.

two:
DFT (PBE) results for an optimized crystal structure of Tb3AgPd.

POSCAR file:
```
Tb3AgPd
1.0
-2.6701 1.0282 2.7443
0.6757 -7.9538 3.6381
6.2230 -0.3435 6.1834
Tb Pd Ag
6 2 2
Direct
0.8638 0.0011 0.6771
0.3633 0.0351 0.0870
0.8626 0.6245 0.0535
0.8626 0.7639 0.4391
0.3633 0.3535 0.4059
0.8638 0.3874 0.8154
0.3626 0.6943 0.2462
0.3638 0.1941 0.7464
0.8633 0.1935 0.2473
0.3632 0.6941 0.7464
```

The density comes out at 8.13 Mg/m³. As for the space group: No. 38.

According to the calculations, the structures order from most to least stable as one, two.

one:
DFT (PBE) results for an optimized crystal structure of Tb6AgPd5.

POSCAR file:
```
Tb6AgPd5
1.0
7.2336 -0.0923 0.0000
1.9474 7.0344 0.0000
0.9737 3.5172 5.7415
Tb Pd Ag
6 5 1
Direct
0.7199 0.4539 0.6462
0.2134 0.2938 0.0000
0.2801 0.5461 0.3538
0.2801 0.8999 0.6462
0.7199 0.1001 0.3538
0.7866 0.7062 0.0000
0.0000 0.6947 0.6106
0.5000 0.1295 0.7409
0.5000 0.8705 0.2591
0.5000 0.5000 0.0000
0.0000 0.3053 0.3894
0.0000 0.0000 0.0000
```

The density comes out at 9.03 Mg/m³. As for the space group: No. 12.

two:
DFT (PBE) results for an optimized crystal structure of Tb6AgPd5.

POSCAR file:
```
Tb6AgPd5
1.0
-4.3519 -1.8374 -1.6921
3.3955 -5.6597 -2.5869
-1.4806 -7.3345 4.3891
Pd Tb Ag
5 6 1
Direct
0.6679 0.6680 0.6640
0.3321 0.3320 0.3360
0.3376 0.8369 0.3262
0.6624 0.1631 0.6738
0.0000 0.5000 0.0000
0.5000 0.2570 0.0000
0.1691 0.9157 0.6615
0.8309 0.0843 0.3385
0.1692 0.4228 0.6615
0.5000 0.7430 0.0000
0.8308 0.5772 0.3385
0.0000 0.0000 0.0000
```

The density comes out at 9.90 Mg/m³. As for the space group: No. 12.

According to the calculations, the structures order from most to least stable as two, one.

one:
DFT (PBE) results for an optimized crystal structure of TbAg2Pd3.

POSCAR file:
```
TbAg2Pd3
1.0
-4.3148 1.7329 -0.5353
1.0731 -4.1966 -1.7731
-1.5955 -2.4671 4.8737
Ag Pd Tb
2 3 1
Direct
0.6667 0.3333 0.3272
0.3333 0.6667 0.6728
0.3333 0.6667 0.1871
0.6667 0.3333 0.8129
0.0000 0.0000 0.5000
0.0000 0.0000 0.0000
```

The density comes out at 10.67 Mg/m³. As for the space group: No. 164.

two:
DFT (PBE) results for an optimized crystal structure of TbAg2Pd3.

POSCAR file:
```
TbAg2Pd3
1.0
3.9316 0.0000 0.0000
0.0000 4.2536 0.0000
0.0000 0.0000 12.8014
Pd Ag Tb
6 4 2
Direct
0.5001 0.5000 0.6681
0.5003 0.0000 0.5000
0.4999 0.0000 0.1681
0.4999 0.0000 0.8319
0.5001 0.5000 0.3319
0.4997 0.5000 0.0000
0.9998 0.5000 0.1706
0.9998 0.5000 0.8294
0.0002 0.0000 0.6706
0.0002 0.0000 0.3294
0.9998 0.0000 0.0000
0.0002 0.5000 0.5000
```

The density comes out at 10.76 Mg/m³. As for the space group: No. 65.

According to the calculations, the structures order from most to least stable as two, one.

one:
DFT (PBE) results for an optimized crystal structure of TbAg2Pd.

POSCAR file:
```
TbAg2Pd
1.0
-3.4280 -0.8980 -2.1949
3.5056 -8.3329 -2.0694
1.7114 -0.6428 5.4898
Tb Ag Pd
2 4 2
Direct
0.2500 0.7500 0.3557
0.2500 0.2500 0.8557
0.7500 0.5024 0.3557
0.7500 0.9976 0.3557
0.7500 0.4975 0.8557
0.7499 0.0025 0.8557
0.2500 0.2500 0.3557
0.2500 0.7500 0.8557
```

The density comes out at 10.28 Mg/m³. As for the space group: No. 12.

two:
DFT (PBE) results for an optimized crystal structure of TbAg2Pd.

POSCAR file:
```
TbAg2Pd
1.0
-0.1318 3.7130 -3.1212
0.9460 -2.5194 -3.0370
-3.9444 -0.6910 -0.6555
Ag Pd Tb
2 1 1
Direct
0.0000 0.5000 0.0000
0.0000 0.0000 0.5000
0.5000 0.0000 0.0000
0.5000 0.5000 0.5000
```

The density comes out at 10.00 Mg/m³. As for the space group: No. 123.

According to the calculations, the structures order from most to least stable as one, two.

one:
DFT (PBE) results for an optimized crystal structure of TbAg2Pd.

POSCAR file:
```
TbAg2Pd
1.0
4.2117 -0.4391 0.0000
-1.6016 5.0897 0.0000
0.0000 0.0000 7.9693
Ag Tb Pd
4 2 2
Direct
0.3638 0.7279 0.4445
0.6362 0.2721 0.9445
0.3638 0.7279 0.0555
0.6362 0.2721 0.5555
0.9347 0.8702 0.7500
0.0653 0.1298 0.2500
0.2298 0.4596 0.7500
0.7702 0.5404 0.2500
```

The density comes out at 9.67 Mg/m³. As for the space group: No. 63.

two:
DFT (PBE) results for an optimized crystal structure of TbAg2Pd.

POSCAR file:
```
TbAg2Pd
1.0
-4.5199 0.0442 1.7092
-2.6424 -4.0458 -0.0515
-1.0388 -2.2604 4.1431
Pd Ag Tb
1 2 1
Direct
0.5000 0.5000 0.5000
0.2500 0.2500 0.2500
0.7500 0.7500 0.7500
0.0000 0.0000 0.0000
```

The density comes out at 10.01 Mg/m³. As for the space group: No. 225.

According to the calculations, the structures order from most to least stable as one, two.

one:
DFT (PBE) results for an optimized crystal structure of Tb4AgPd2.

POSCAR file:
```
Tb4AgPd2
1.0
-3.8783 -3.0717 0.7157
-1.3747 -3.1730 -3.6098
3.2727 -7.7162 2.0749
Tb Pd Ag
4 2 1
Direct
0.8724 0.8724 0.3829
0.3783 0.3783 0.8650
0.1276 0.1276 0.6171
0.6217 0.6217 0.1350
0.2484 0.2484 0.2547
0.7516 0.7516 0.7453
0.0000 0.0000 0.0000
```

The density comes out at 9.02 Mg/m³. As for the space group: No. 166.

two:
DFT (PBE) results for an optimized crystal structure of Tb4AgPd2.

POSCAR file:
```
Tb4AgPd2
1.0
7.0065 -0.6343 -0.1331
-1.1379 6.9401 0.1328
-2.8048 -3.2716 7.3936
Pd Tb Ag
4 8 2
Direct
0.1347 0.5385 0.9330
0.4518 0.3554 0.5670
0.7880 0.8851 0.4331
0.6052 0.2020 0.0669
0.9876 0.2291 0.3540
0.8748 0.6332 0.6454
0.2436 0.1705 0.7658
0.4207 0.9941 0.2662
0.8837 0.6252 0.1462
0.7278 0.1547 0.7342
0.4044 0.4778 0.2337
0.4794 0.7377 0.8545
0.2493 0.7486 0.5001
0.9989 0.9983 0.9999
```

The density comes out at 8.96 Mg/m³. As for the space group: No. 9.

According to the calculations, the structures order from most to least stable as two, one.

one:
DFT (PBE) results for an optimized crystal structure of TbAgPd3.

POSCAR file:
```
TbAgPd3
1.0
-3.6654 3.8473 -0.6122
-2.6078 -3.2912 -5.0691
-2.1841 -1.1086 6.1097
Pd Ag Tb
6 2 2
Direct
0.7500 0.5988 0.7991
0.7500 0.2009 0.4012
0.7500 0.2007 0.7993
0.2500 0.7993 0.2007
0.2500 0.4012 0.2009
0.2500 0.7991 0.5988
0.5000 0.0000 0.0000
0.0000 0.0000 0.0000
0.7500 0.6665 0.3335
0.2500 0.3335 0.6665
```

The density comes out at 9.69 Mg/m³. As for the space group: No. 194.

two:
DFT (PBE) results for an optimized crystal structure of TbAgPd3.

POSCAR file:
```
TbAgPd3
1.0
-2.4271 -3.2002 -2.0780
-1.9364 -1.9193 5.2174
-5.6276 4.5399 -0.4186
Pd Ag Tb
6 2 2
Direct
0.0000 0.2747 0.2458
0.5000 0.2253 0.7542
0.0000 0.0000 0.9226
0.5000 0.5000 0.0774
0.0000 0.7253 0.2458
0.5000 0.7747 0.7542
0.0000 0.0000 0.5510
0.5000 0.5000 0.4490
0.0000 0.5000 0.8273
0.5000 0.0000 0.1727
```

The density comes out at 10.09 Mg/m³. As for the space group: No. 59.

According to the calculations, the structures order from most to least stable as two, one.

one:
DFT (PBE) results for an optimized crystal structure of Tb6Ag2Pd.

POSCAR file:
```
Tb6Ag2Pd
1.0
8.0233 0.3702 -2.9514
-4.0193 7.0519 -2.7086
-0.1117 -0.3702 8.5482
Pd Tb Ag
2 12 4
Direct
0.0000 0.5000 0.5000
0.0000 0.0000 0.0000
0.1878 0.2590 0.4468
0.1878 0.7410 0.9289
0.0849 0.2582 0.8267
0.7220 0.3945 0.6725
0.8122 0.7410 0.5532
0.4315 0.2582 0.1733
0.2780 0.6055 0.3275
0.9151 0.7418 0.1733
0.5685 0.7418 0.8267
0.7220 0.0495 0.3275
0.8122 0.2590 0.0711
0.2780 0.9505 0.6725
0.5000 0.3634 0.8634
0.6468 0.0000 0.6468
0.5000 0.6366 0.1366
0.3532 0.0000 0.3532
```

The density comes out at 8.79 Mg/m³. As for the space group: No. 71.

two:
DFT (PBE) results for an optimized crystal structure of Tb6Ag2Pd.

POSCAR file:
```
Tb6Ag2Pd
1.0
-4.4644 5.0694 -0.6506
-5.6058 -4.8765 0.4699
-0.8455 1.9283 9.9263
Tb Pd Ag
12 2 4
Direct
0.3593 0.8121 0.4372
0.6483 0.4765 0.2528
0.6407 0.1879 0.5628
0.3143 0.8270 0.0489
0.8143 0.6730 0.5489
0.1857 0.3270 0.4511
0.8593 0.6879 0.9372
0.1483 0.0235 0.7528
0.3517 0.5235 0.7472
0.1407 0.3121 0.0628
0.8517 0.9765 0.2472
0.6857 0.1730 0.9511
0.0000 0.0000 0.5000
0.5000 0.5000 0.0000
0.4322 0.1143 0.2421
0.9322 0.3857 0.7421
0.5678 0.8857 0.7579
0.0678 0.6143 0.2579
```

The density comes out at 8.31 Mg/m³. As for the space group: No. 14.

According to the calculations, the structures order from most to least stable as one, two.